# Dy7Y4Ho2, optimized geometry, DFT PBE-GGA
# * formation energy: 0.021 eV per atom
data_Dy7Y4Ho2
_chemical_formula_sum 'Dy7 Y4 Ho2'
_cell_length_a 6.1383
_cell_length_b 7.9326
_cell_length_c 9.3911
_cell_angle_alpha 65.10
_cell_angle_beta 83.78
_cell_angle_gamma 82.55
_space_group_name_H-M_alt 'P -1'
_space_group_IT_number 2
_space_group_name_Hall '-P 1'
loop_
_atom_site_label
_atom_site_fract_x
_atom_site_fract_y
_atom_site_fract_z
_atom_site_occupancy
Dy1 0.0000 0.0000 0.0000 1
Dy2 0.0772 0.8471 0.6915 1
Dy3 0.2293 0.5393 0.0769 1
Dy4 0.3832 0.2312 0.4614 1
Y1 0.3080 0.3865 0.7679 1
Y2 0.4612 0.0776 0.1546 1
Ho1 0.1528 0.6930 0.3844 1



# TbTh2Rh5Au, optimized geometry, DFT PBE-GGA
# * formation energy: -0.360 eV per atom
data_TbTh2Rh5Au
_chemical_formula_sum 'Tb4 Th8 Rh20 Au4'
_cell_length_a 8.3662
_cell_length_b 8.3662
_cell_length_c 11.0449
_cell_angle_alpha 90.00
_cell_angle_beta 90.00
_cell_angle_gamma 90.00
_space_group_name_H-M_alt 'I 4/m c m'
_space_group_IT_number 140
_space_group_name_Hall '-I 4 2c'
loop_
_atom_site_label
_atom_site_fract_x
_atom_site_fract_y
_atom_site_fract_z
_atom_site_occupancy
Tb1 0.0000 0.0000 0.2500 1
Th1 0.1383 0.3617 0.0000 1
Rh1 0.0000 0.0000 0.0000 1
Rh2 0.1938 0.3062 0.3639 1
Au1 0.0000 0.5000 0.2500 1



# Tb5Hg2Bi2, optimized geometry, DFT PBE-GGA
# * formation energy: -0.609 eV per atom
data_Tb5Hg2Bi2
_chemical_formula_sum 'Tb20 Hg8 Bi8'
_cell_length_a 15.9243
_cell_length_b 8.1977
_cell_length_c 8.0994
_cell_angle_alpha 90.00
_cell_angle_beta 90.00
_cell_angle_gamma 90.00
_space_group_name_H-M_alt 'C m c e'
_space_group_IT_number 64
_space_group_name_Hall '-C 2ac 2'
loop_
_atom_site_label
_atom_site_fract_x
_atom_site_fract_y
_atom_site_fract_z
_atom_site_occupancy
Tb1 0.0000 0.0000 0.0000 1
Tb2 0.1318 0.1678 0.3363 1
Hg1 0.0000 0.1340 0.6311 1
Bi1 0.2059 0.0000 0.0000 1



# Sm2ErZrN4, optimized geometry, DFT PBE-GGA
# * formation energy without anion corrections: -1.6322 eV/atom
data_Sm2ErZrN4
_chemical_formula_sum 'Sm2 Er1 Zr1 N4'
_cell_length_a 5.9625
_cell_length_b 3.4400
_cell_length_c 6.0054
_cell_angle_alpha 90.00
_cell_angle_beta 109.16
_cell_angle_gamma 90.00
_space_group_name_H-M_alt 'P 1 2/m 1'
_space_group_IT_number 10
_space_group_name_Hall '-P 2y'
loop_
_atom_site_label
_atom_site_fract_x
_atom_site_fract_y
_atom_site_fract_z
_atom_site_occupancy
Sm1 0.0000 0.0000 0.0000 1
Sm2 0.5000 0.5000 0.0000 1
Er1 0.0000 0.5000 0.5000 1
Zr1 0.5000 0.0000 0.5000 1
N1 0.2535 0.0000 0.7314 1
N2 0.2651 0.5000 0.2726 1



# CuPBr3, optimized geometry, DFT PBE-GGA
# * formation energy without anion corrections: -0.2500 eV/atom
# * energy above the lowest structure with this stoichiometry: 0.0 meV per atom
data_CuPBr3
_chemical_formula_sum 'Cu4 P4 Br12'
_cell_length_a 13.6768
_cell_length_b 7.6778
_cell_length_c 6.4972
_cell_angle_alpha 90.00
_cell_angle_beta 103.79
_cell_angle_gamma 90.00
_space_group_name_H-M_alt 'C 1 2/m 1'
_space_group_IT_number 12
_space_group_name_Hall '-C 2y'
loop_
_atom_site_label
_atom_site_fract_x
_atom_site_fract_y
_atom_site_fract_z
_atom_site_occupancy
Cu1 0.1954 0.0000 0.3034 1
P1 0.0838 0.0000 0.0117 1
Br1 0.0931 0.2268 0.8060 1
Br2 0.1684 0.5000 0.4244 1



# SrAcAgP, optimized geometry, DFT PBE-GGA
# * formation energy: -0.567 eV per atom
data_SrAcAgP
_chemical_formula_sum 'Sr4 Ac4 Ag4 P4'
_cell_length_a 7.6511
_cell_length_b 7.6511
_cell_length_c 7.6511
_cell_angle_alpha 90.00
_cell_angle_beta 90.00
_cell_angle_gamma 90.00
_space_group_name_H-M_alt 'F -4 3 m'
_space_group_IT_number 216
_space_group_name_Hall 'F -4 2 3'
loop_
_atom_site_label
_atom_site_fract_x
_atom_site_fract_y
_atom_site_fract_z
_atom_site_occupancy
Sr1 0.0000 0.0000 0.0000 1
Ac1 0.0000 0.0000 0.5000 1
Ag1 0.2500 0.2500 0.2500 1
P1 0.2500 0.2500 0.7500 1



# Dy2MgZr3N6, optimized geometry, DFT PBE-GGA
# * formation energy without anion corrections: -1.5836 eV/atom
data_Dy2MgZr3N6
_chemical_formula_sum 'Dy4 Mg2 Zr6 N12'
_cell_length_a 14.4893
_cell_length_b 3.3061
_cell_length_c 6.6531
_cell_angle_alpha 90.00
_cell_angle_beta 103.97
_cell_angle_gamma 90.00
_space_group_name_H-M_alt 'C 1 2/m 1'
_space_group_IT_number 12
_space_group_name_Hall '-C 2y'
loop_
_atom_site_label
_atom_site_fract_x
_atom_site_fract_y
_atom_site_fract_z
_atom_site_occupancy
Dy1 0.1640 0.0000 0.3275 1
Mg1 0.0000 0.5000 0.0000 1
Zr1 0.0000 0.5000 0.5000 1
Zr2 0.1632 0.0000 0.8336 1
N1 0.0041 0.0000 0.7464 1
N2 0.1621 0.5000 0.5923 1
N3 0.1671 0.5000 0.0706 1



# LaErGeAu, optimized geometry, DFT PBE-GGA
# * formation energy: -0.732 eV per atom
data_LaErGeAu
_chemical_formula_sum 'La4 Er4 Ge4 Au4'
_cell_length_a 7.3581
_cell_length_b 7.3581
_cell_length_c 7.3581
_cell_angle_alpha 90.00
_cell_angle_beta 90.00
_cell_angle_gamma 90.00
_space_group_name_H-M_alt 'F -4 3 m'
_space_group_IT_number 216
_space_group_name_Hall 'F -4 2 3'
loop_
_atom_site_label
_atom_site_fract_x
_atom_site_fract_y
_atom_site_fract_z
_atom_site_occupancy
La1 0.0000 0.0000 0.0000 1
Er1 0.0000 0.0000 0.5000 1
Ge1 0.2500 0.2500 0.2500 1
Au1 0.2500 0.2500 0.7500 1



# RbAgSe2N, optimized geometry, DFT PBE-GGA
# * formation energy without anion corrections: 0.6526 eV/atom
# * energy above the lowest structure with this stoichiometry: 0.0 meV per atom
data_RbAgSe2N
_chemical_formula_sum 'Rb1 Ag1 Se2 N1'
_cell_length_a 5.3965
_cell_length_b 5.3965
_cell_length_c 4.3324
_cell_angle_alpha 90.00
_cell_angle_beta 90.00
_cell_angle_gamma 90.00
_space_group_name_H-M_alt 'P 4/m m m'
_space_group_IT_number 123
_space_group_name_Hall '-P 4 2'
loop_
_atom_site_label
_atom_site_fract_x
_atom_site_fract_y
_atom_site_fract_z
_atom_site_occupancy
Rb1 0.0000 0.0000 0.0000 1
Ag1 0.5000 0.5000 0.5000 1
Se1 0.0000 0.5000 0.5000 1
N1 0.5000 0.5000 0.0000 1



# Pm2Pr2Ga, optimized geometry, DFT PBE-GGA
# * formation energy: 0.284 eV per atom
data_Pm2Pr2Ga
_chemical_formula_sum 'Pm4 Pr4 Ga2'
_cell_length_a 4.3118
_cell_length_b 4.3118
_cell_length_c 18.4030
_cell_angle_alpha 90.00
_cell_angle_beta 90.00
_cell_angle_gamma 90.00
_space_group_name_H-M_alt 'I 4/m m m'
_space_group_IT_number 139
_space_group_name_Hall '-I 4 2'
loop_
_atom_site_label
_atom_site_fract_x
_atom_site_fract_y
_atom_site_fract_z
_atom_site_occupancy
Pm1 0.0000 0.5000 0.2500 1
Pr1 0.0000 0.0000 0.0827 1
Ga1 0.0000 0.0000 0.5000 1



# Rb2CdPtCl6, optimized geometry, DFT PBE-GGA
# * formation energy without anion corrections: -1.1256 eV/atom
# * energy above the lowest structure with this stoichiometry: 12.2 meV per atom
data_Rb2CdPtCl6
_chemical_formula_sum 'Rb12 Cd6 Pt6 Cl36'
_cell_length_a 7.2691
_cell_length_b 7.2691
_cell_length_c 37.3643
_cell_angle_alpha 90.00
_cell_angle_beta 90.00
_cell_angle_gamma 120.00
_space_group_name_H-M_alt 'R -3 m'
_space_group_IT_number 166
_space_group_name_Hall '-R 3 2"'
loop_
_atom_site_label
_atom_site_fract_x
_atom_site_fract_y
_atom_site_fract_z
_atom_site_occupancy
Rb1 0.0000 0.0000 0.1262 1
Rb2 0.0000 0.0000 0.2948 1
Cd1 0.0000 0.0000 0.4137 1
Pt1 0.0000 0.0000 0.0000 1
Pt2 0.0000 0.0000 0.5000 1
Cl1 0.0062 0.5031 0.1254 1
Cl2 0.0088 0.5044 0.7049 1



# NdCd2TcO6, optimized geometry, DFT PBE-GGA
# * formation energy without anion corrections: -1.5387 eV/atom
data_NdCd2TcO6
_chemical_formula_sum 'Nd1 Cd2 Tc1 O6'
_cell_length_a 5.8095
_cell_length_b 5.8095
_cell_length_c 4.8168
_cell_angle_alpha 90.00
_cell_angle_beta 90.00
_cell_angle_gamma 90.00
_space_group_name_H-M_alt 'P 4 m m'
_space_group_IT_number 99
_space_group_name_Hall 'P 4 -2'
loop_
_atom_site_label
_atom_site_fract_x
_atom_site_fract_y
_atom_site_fract_z
_atom_site_occupancy
Nd1 0.0000 0.0000 0.0000 1
Cd1 0.0000 0.5000 0.3681 1
Tc1 0.5000 0.5000 0.9872 1
O1 0.0000 0.0000 0.5347 1
O2 0.2795 0.2795 0.1273 1
O3 0.5000 0.5000 0.6317 1



# MgSc2P, optimized geometry, DFT PBE-GGA
# * formation energy: -0.555 eV per atom
# * energy above the lowest structure with this stoichiometry: 152.8 meV per atom
data_MgSc2P
_chemical_formula_sum 'Mg2 Sc4 P2'
_cell_length_a 4.0664
_cell_length_b 5.0772
_cell_length_c 8.1777
_cell_angle_alpha 90.00
_cell_angle_beta 90.00
_cell_angle_gamma 90.00
_space_group_name_H-M_alt 'C m m m'
_space_group_IT_number 65
_space_group_name_Hall '-C 2 2'
loop_
_atom_site_label
_atom_site_fract_x
_atom_site_fract_y
_atom_site_fract_z
_atom_site_occupancy
Mg1 0.0000 0.0000 0.0000 1
Sc1 0.0000 0.5000 0.3036 1
P1 0.0000 0.0000 0.5000 1



# Mn5Ge2Pd12, optimized geometry, DFT PBE-GGA
# * formation energy: -0.243 eV per atom
data_Mn5Ge2Pd12
_chemical_formula_sum 'Mn10 Ge4 Pd24'
_cell_length_a 12.3144
_cell_length_b 8.2302
_cell_length_c 5.8682
_cell_angle_alpha 90.00
_cell_angle_beta 92.49
_cell_angle_gamma 90.00
_space_group_name_H-M_alt 'C 1 2/m 1'
_space_group_IT_number 12
_space_group_name_Hall '-C 2y'
loop_
_atom_site_label
_atom_site_fract_x
_atom_site_fract_y
_atom_site_fract_z
_atom_site_occupancy
Mn1 0.0000 0.0000 0.0000 1
Mn2 0.1744 0.5000 0.4197 1
Mn3 0.2436 0.0000 0.0409 1
Ge1 0.0000 0.2494 0.5000 1
Pd1 0.0463 0.5000 0.7639 1
Pd2 0.1026 0.2712 0.1141 1
Pd3 0.1128 0.0000 0.4021 1
Pd4 0.1897 0.2378 0.6994 1



# NaLiHgPb, optimized geometry, DFT PBE-GGA
# * formation energy: -0.199 eV per atom
# * energy above the lowest structure with this stoichiometry: 42.7 meV per atom
data_NaLiHgPb
_chemical_formula_sum 'Na4 Li4 Hg4 Pb4'
_cell_length_a 7.2510
_cell_length_b 7.2510
_cell_length_c 7.2510
_cell_angle_alpha 90.00
_cell_angle_beta 90.00
_cell_angle_gamma 90.00
_space_group_name_H-M_alt 'F -4 3 m'
_space_group_IT_number 216
_space_group_name_Hall 'F -4 2 3'
loop_
_atom_site_label
_atom_site_fract_x
_atom_site_fract_y
_atom_site_fract_z
_atom_site_occupancy
Na1 0.0000 0.0000 0.0000 1
Li1 0.2500 0.2500 0.2500 1
Hg1 0.2500 0.2500 0.7500 1
Pb1 0.0000 0.0000 0.5000 1